First-principles (PBE) data for a relaxed Dy2InPt crystal, as listed in Alexandria via LeMat-Bulk.

```
data_Dy2InPt
_space_group_name_H-M_alt 'R -3 m'
_space_group_IT_number 166
_space_group_name_Hall '-R 3 2"'
_cell_length_a 3.8862
_cell_length_b 3.8862
_cell_length_c 25.0053
_cell_angle_alpha 90.00
_cell_angle_beta 90.00
_cell_angle_gamma 120.00
loop_
_atom_site_label
_atom_site_type_symbol
_atom_site_fract_x
_atom_site_fract_y
_atom_site_fract_z
Dy1 Dy 0.0000 0.0000 0.2349
In1 In 0.0000 0.0000 0.0000
Pt1 Pt 0.0000 0.0000 0.5000
```

## Properties
energy of formation from the pure elements	-0.73	eV/atom
total DFT energy (no corrections)	-5.221	eV per atom

---

First-principles (PBE) data for a relaxed Dy2In16Pt7 crystal, as listed in Alexandria via LeMat-Bulk.

```
data_Dy2In16Pt7
_space_group_name_H-M_alt 'C m m m'
_space_group_IT_number 65
_space_group_name_Hall '-C 2 2'
_cell_length_a 12.288
_cell_length_b 20.291
_cell_length_c 4.470
_cell_angle_alpha 90.00
_cell_angle_beta 90.00
_cell_angle_gamma 90.00
loop_
_atom_site_label
_atom_site_type_symbol
_atom_site_fract_x
_atom_site_fract_y
_atom_site_fract_z
Dy1 Dy 0.169 0.000 0.000
In1 In 0.000 0.073 0.500
In2 In 0.124 0.162 0.000
In3 In 0.131 0.387 0.000
In4 In 0.131 0.500 0.500
In5 In 0.135 0.278 0.500
Pt1 Pt 0.000 0.276 0.000
Pt2 Pt 0.000 0.500 0.000
Pt3 Pt 0.224 0.107 0.500
```

## Properties
energy of formation from the pure elements	-0.53	eV/atom
total DFT energy (no corrections)	-4.338	eV per atom

---

First-principles (PBE) data for a relaxed DyIn4Pt4 crystal, as listed in Alexandria via LeMat-Bulk.

```
data_DyIn4Pt4
_space_group_name_H-M_alt 'P 63/m m c'
_space_group_IT_number 194
_space_group_name_Hall '-P 6c 2c'
_cell_length_a 4.6122
_cell_length_b 4.6122
_cell_length_c 20.1164
_cell_angle_alpha 90.00
_cell_angle_beta 90.00
_cell_angle_gamma 120.00
loop_
_atom_site_label
_atom_site_type_symbol
_atom_site_fract_x
_atom_site_fract_y
_atom_site_fract_z
Dy1 Dy 0.3333 0.6667 0.2500
In1 In 0.0000 0.0000 0.1421
In2 In 0.3333 0.6667 0.5417
Pt1 Pt 0.3333 0.6667 0.0951
Pt2 Pt 0.3333 0.6667 0.6812
```

## Properties
energy of formation from the pure elements	-0.71	eV/atom
total DFT energy (no corrections)	-5.124	eV per atom

---

First-principles (PBE) data for a relaxed Dy4InPt2 crystal, as listed in Alexandria via LeMat-Bulk.

```
data_Dy4InPt2
_space_group_name_H-M_alt 'R -3 m'
_space_group_IT_number 166
_space_group_name_Hall '-R 3 2"'
_cell_length_a 4.7831
_cell_length_b 4.7831
_cell_length_c 28.5136
_cell_angle_alpha 90.00
_cell_angle_beta 90.00
_cell_angle_gamma 120.00
loop_
_atom_site_label
_atom_site_type_symbol
_atom_site_fract_x
_atom_site_fract_y
_atom_site_fract_z
Dy1 Dy 0.0000 0.0000 0.1134
Dy2 Dy 0.0000 0.0000 0.2974
In1 In 0.0000 0.0000 0.5000
Pt1 Pt 0.0000 0.0000 0.4001
```

## Properties
energy of formation from the pure elements	-0.78	eV/atom
total DFT energy (no corrections)	-5.526	eV per atom

---

First-principles (PBE) data for a relaxed Dy6In3Pt crystal, as listed in Alexandria via LeMat-Bulk.

```
data_Dy6In3Pt
_space_group_name_H-M_alt 'P 1 21/m 1'
_space_group_IT_number 11
_cell_length_a 9.228
_cell_length_b 5.262
_cell_length_c 11.520
_cell_angle_alpha 90.00
_cell_angle_beta 108.14
_cell_angle_gamma 90.00
loop_
_space_group_symop_operation_xyz
'x,y,z'
'-x,-y,-z'
'-x,y+1/2,-z'
'x,-y+1/2,z'
loop_
_atom_site_label
_atom_site_type_symbol
_atom_site_fract_x
_atom_site_fract_y
_atom_site_fract_z
Dy1 Dy 0.039 0.250 0.416
Dy2 Dy 0.179 0.750 0.167
Dy3 Dy 0.276 0.250 0.002
Dy4 Dy 0.355 0.750 0.830
Dy5 Dy 0.366 0.250 0.340
Dy6 Dy 0.401 0.250 0.638
In1 In 0.017 0.750 0.878
In2 In 0.107 0.250 0.719
In3 In 0.276 0.750 0.474
Pt1 Pt 0.455 0.750 0.103
```

## Properties
energy of formation from the pure elements	-0.51	eV/atom
total DFT energy (no corrections)	-4.699	eV per atom

---

First-principles (PBE) data for a relaxed DyIn2Pt crystal, as listed in Alexandria via LeMat-Bulk.

```
data_DyIn2Pt
_space_group_name_H-M_alt 'P n m a'
_space_group_IT_number 62
_cell_length_a 16.519
_cell_length_b 7.698
_cell_length_c 5.665
_cell_angle_alpha 90.00
_cell_angle_beta 90.00
_cell_angle_gamma 90.00
loop_
_space_group_symop_operation_xyz
'x,y,z'
'-x,-y,-z'
'-x+1/2,-y,z+1/2'
'x+1/2,y,-z+1/2'
'x+1/2,-y+1/2,-z+1/2'
'-x+1/2,y+1/2,z+1/2'
'-x,y+1/2,-z'
'x,-y+1/2,z'
loop_
_atom_site_label
_atom_site_type_symbol
_atom_site_fract_x
_atom_site_fract_y
_atom_site_fract_z
Dy1 Dy 0.107 0.250 0.236
Dy2 Dy 0.144 0.750 0.466
In1 In 0.032 0.048 0.737
In2 In 0.216 0.550 0.975
Pt1 Pt 0.074 0.750 0.982
Pt2 Pt 0.172 0.250 0.737
```

## Properties
energy of formation from the pure elements	-0.71	eV/atom
total DFT energy (no corrections)	-4.736	eV per atom

---

First-principles (PBE) data for a relaxed Dy2InPt crystal, as listed in Alexandria via LeMat-Bulk.

```
data_Dy2InPt
_space_group_name_H-M_alt 'F m -3 m'
_space_group_IT_number 225
_space_group_name_Hall '-F 4 2 3'
_cell_length_a 7.252
_cell_length_b 7.252
_cell_length_c 7.252
_cell_angle_alpha 90.00
_cell_angle_beta 90.00
_cell_angle_gamma 90.00
loop_
_atom_site_label
_atom_site_type_symbol
_atom_site_fract_x
_atom_site_fract_y
_atom_site_fract_z
Dy1 Dy 0.250 0.250 0.250
In1 In 0.000 0.000 0.000
Pt1 Pt 0.000 0.000 0.500
```

## Properties
energy of formation from the pure elements	-0.75	eV/atom
total DFT energy (no corrections)	-5.247	eV per atom

---

First-principles (PBE) data for a relaxed Dy12InPt6 crystal, as listed in Alexandria via LeMat-Bulk.

```
data_Dy12InPt6
_space_group_name_H-M_alt 'I m -3'
_space_group_IT_number 204
_space_group_name_Hall '-I 2 2 3'
_cell_length_a 9.979
_cell_length_b 9.979
_cell_length_c 9.979
_cell_angle_alpha 90.00
_cell_angle_beta 90.00
_cell_angle_gamma 90.00
loop_
_atom_site_label
_atom_site_type_symbol
_atom_site_fract_x
_atom_site_fract_y
_atom_site_fract_z
Dy1 Dy 0.000 0.180 0.299
In1 In 0.000 0.000 0.000
Pt1 Pt 0.000 0.361 0.500
```

## Properties
energy of formation from the pure elements	-0.86	eV/atom
total DFT energy (no corrections)	-5.814	eV per atom

---

First-principles (PBE) data for a relaxed DyPuInPt crystal, as listed in Alexandria via LeMat-Bulk.

```
data_DyPuInPt
_space_group_name_H-M_alt 'F -4 3 m'
_space_group_IT_number 216
_space_group_name_Hall 'F -4 2 3'
_cell_length_a 7.279
_cell_length_b 7.279
_cell_length_c 7.279
_cell_angle_alpha 90.00
_cell_angle_beta 90.00
_cell_angle_gamma 90.00
loop_
_atom_site_label
_atom_site_type_symbol
_atom_site_fract_x
_atom_site_fract_y
_atom_site_fract_z
Dy1 Dy 0.000 0.000 0.000
Pu1 Pu 0.000 0.000 0.500
In1 In 0.250 0.250 0.750
Pt1 Pt 0.250 0.250 0.250
```

## Properties
energy of formation from the pure elements	-0.50	eV/atom
total DFT energy (no corrections)	-7.429	eV per atom

---

First-principles (PBE) data for a relaxed DyInPtRh crystal, as listed in Alexandria via LeMat-Bulk.

```
data_DyInPtRh
_space_group_name_H-M_alt 'F -4 3 m'
_space_group_IT_number 216
_space_group_name_Hall 'F -4 2 3'
_cell_length_a 6.724
_cell_length_b 6.724
_cell_length_c 6.724
_cell_angle_alpha 90.00
_cell_angle_beta 90.00
_cell_angle_gamma 90.00
loop_
_atom_site_label
_atom_site_type_symbol
_atom_site_fract_x
_atom_site_fract_y
_atom_site_fract_z
Dy1 Dy 0.000 0.000 0.000
In1 In 0.000 0.000 0.500
Pt1 Pt 0.250 0.250 0.250
Rh1 Rh 0.250 0.250 0.750
```

## Properties
energy of formation from the pure elements	-0.81	eV/atom
total DFT energy (no corrections)	-5.995	eV per atom

---

First-principles (PBE) data for a relaxed DyInRuPt crystal, as listed in Alexandria via LeMat-Bulk.

```
data_DyInRuPt
_space_group_name_H-M_alt 'F -4 3 m'
_space_group_IT_number 216
_space_group_name_Hall 'F -4 2 3'
_cell_length_a 6.689
_cell_length_b 6.689
_cell_length_c 6.689
_cell_angle_alpha 90.00
_cell_angle_beta 90.00
_cell_angle_gamma 90.00
loop_
_atom_site_label
_atom_site_type_symbol
_atom_site_fract_x
_atom_site_fract_y
_atom_site_fract_z
Dy1 Dy 0.000 0.000 0.000
In1 In 0.000 0.000 0.500
Ru1 Ru 0.250 0.250 0.250
Pt1 Pt 0.250 0.250 0.750
```

## Properties
energy of formation from the pure elements	-0.56	eV/atom
total DFT energy (no corrections)	-6.226	eV per atom

---

First-principles (PBE) data for a relaxed Dy5In2Ru2Pt crystal, as listed in Alexandria via LeMat-Bulk.

```
data_Dy5In2Ru2Pt
_space_group_name_H-M_alt 'P 4/m b m'
_space_group_IT_number 127
_space_group_name_Hall '-P 4 2ab'
_cell_length_a 11.696
_cell_length_b 11.696
_cell_length_c 3.509
_cell_angle_alpha 90.00
_cell_angle_beta 90.00
_cell_angle_gamma 90.00
loop_
_atom_site_label
_atom_site_type_symbol
_atom_site_fract_x
_atom_site_fract_y
_atom_site_fract_z
Dy1 Dy 0.000 0.500 0.000
Dy2 Dy 0.066 0.198 0.000
In1 In 0.181 0.681 0.500
Ru1 Ru 0.137 0.363 0.500
Pt1 Pt 0.000 0.000 0.500
```

## Properties
energy of formation from the pure elements	-0.52	eV/atom
total DFT energy (no corrections)	-5.833	eV per atom

---

Please write out number 8 again, unchanged.
First-principles (PBE) data for a relaxed Dy12InPt6 crystal, as listed in Alexandria via LeMat-Bulk.

```
data_Dy12InPt6
_space_group_name_H-M_alt 'I m -3'
_space_group_IT_number 204
_space_group_name_Hall '-I 2 2 3'
_cell_length_a 9.979
_cell_length_b 9.979
_cell_length_c 9.979
_cell_angle_alpha 90.00
_cell_angle_beta 90.00
_cell_angle_gamma 90.00
loop_
_atom_site_label
_atom_site_type_symbol
_atom_site_fract_x
_atom_site_fract_y
_atom_site_fract_z
Dy1 Dy 0.000 0.180 0.299
In1 In 0.000 0.000 0.000
Pt1 Pt 0.000 0.361 0.500
```

## Properties
energy of formation from the pure elements	-0.86	eV/atom
total DFT energy (no corrections)	-5.814	eV per atom

---

Q: The lowest total DFT energy (no corrections) belongs to which entry?
A: DyPuInPt

---

Q: The highest energy of formation from the pure elements belongs to which entry?
A: DyPuInPt

---

Please write out number 10 again, unchanged.
First-principles (PBE) data for a relaxed DyInPtRh crystal, as listed in Alexandria via LeMat-Bulk.

```
data_DyInPtRh
_space_group_name_H-M_alt 'F -4 3 m'
_space_group_IT_number 216
_space_group_name_Hall 'F -4 2 3'
_cell_length_a 6.724
_cell_length_b 6.724
_cell_length_c 6.724
_cell_angle_alpha 90.00
_cell_angle_beta 90.00
_cell_angle_gamma 90.00
loop_
_atom_site_label
_atom_site_type_symbol
_atom_site_fract_x
_atom_site_fract_y
_atom_site_fract_z
Dy1 Dy 0.000 0.000 0.000
In1 In 0.000 0.000 0.500
Pt1 Pt 0.250 0.250 0.250
Rh1 Rh 0.250 0.250 0.750
```

## Properties
energy of formation from the pure elements	-0.81	eV/atom
total DFT energy (no corrections)	-5.995	eV per atom